Compound: FeBO2F
Source: Alexandria
Functional: PBE+U
Structure: optimized geometry

a b c (Å): 3.331 3.331 3.603
angles (deg): 90.00 90.00 90.00
Positions (direct):
Fe: 0.000 0.000 0.000
B: 0.500 0.500 0.500
O: 0.000 0.500 0.500
O: 0.500 0.000 0.500
F: 0.500 0.500 0.000

Its final energy is -5.6932 eV/atom. The total magnetic moment is 4.00 Bohr magnetons per cell.